# Tb8Ga2Co

An optimized crystal structure of Tb8Ga2Co (PBE, Alexandria via LeMat-Bulk).

Cell: 4.9489 6.6202 9.3394 Å, 100.52 105.36 90.00°
Closest atoms and distances in Å follow each position.
Fractional positions:
Co (0.5000, 0.0000, 0.0000)  6 Tb 2.71-2.93
Tb (0.4098, 0.5457, 0.8196)  1 Co 3.14, 4 Tb 3.37-3.42, 2 Ga 3.46
Tb (0.6483, 0.9754, 0.2965)  1 Co 2.71
Tb (0.7912, 0.6883, 0.5823)  3 Ga 3.02-3.16, 2 Tb 3.37
Tb (0.0213, 0.7795, 0.0426)  2 Co 2.93, 1 Ga 3.07, 1 Tb 3.16
Tb (0.2088, 0.3117, 0.4177)  3 Ga 3.02-3.16, 2 Tb 3.37
Tb (0.5902, 0.4543, 0.1804)  1 Co 3.14, 4 Tb 3.37-3.42, 2 Ga 3.46
Tb (0.9787, 0.2205, 0.9574)  2 Co 2.93, 1 Ga 3.07, 1 Tb 3.16
Tb (0.3517, 0.0246, 0.7035)  1 Co 2.71
Ga (0.1897, 0.7548, 0.3794)  7 Tb 3.02-3.16
Ga (0.8103, 0.2452, 0.6206)  7 Tb 3.02-3.16

**Crystal system**: monoclinic
**Formation enthalpy at 0 K**: -2.6 eV per formula unit
**DOS(E_F)**: 10.91 states/eV/cell
**Theoretical density**: 8.42 Mg/m³
**Space-group type**: C2/m